[1]
This record from Alexandria via LeMat-Bulk describes a relaxed MnPCl2 crystal. The functional is PBE.

Structure (CIF):
```
data_MnPCl2
_chemical_formula_sum 'Mn1 P1 Cl2'
_cell_length_a 3.1554
_cell_length_b 4.1496
_cell_length_c 5.7826
_cell_angle_alpha 90.00
_cell_angle_beta 90.00
_cell_angle_gamma 90.00
_symmetry_space_group_name_H-M 'P m m m'
_symmetry_Int_Tables_number 47
loop_
_symmetry_equiv_pos_as_xyz
'x,y,z'
'-x,-y,-z'
'-x,-y,z'
'x,y,-z'
'x,-y,-z'
'-x,y,z'
'-x,y,-z'
'x,-y,z'
loop_
_atom_site_label
_atom_site_fract_x
_atom_site_fract_y
_atom_site_fract_z
_atom_site_occupancy
Mn1 0.0000 0.0000 0.0000 1
P1 0.5000 0.0000 0.5000 1
Cl1 0.0000 0.5000 0.5000 1
Cl2 0.5000 0.5000 0.0000 1
```

=====

[2]
This record from Alexandria via LeMat-Bulk describes a relaxed Mn2PCl crystal. The functional is PBE.

Structure (CIF):
```
data_Mn2PCl
_chemical_formula_sum 'Mn2 P1 Cl1'
_cell_length_a 3.2182
_cell_length_b 3.2182
_cell_length_c 7.1113
_cell_angle_alpha 90.00
_cell_angle_beta 90.00
_cell_angle_gamma 90.00
_symmetry_space_group_name_H-M 'P 4 m m'
_symmetry_Int_Tables_number 99
loop_
_symmetry_equiv_pos_as_xyz
'x,y,z'
'-y,x,z'
'-x,-y,z'
'y,-x,z'
'-x,y,z'
'y,x,z'
'x,-y,z'
'-y,-x,z'
loop_
_atom_site_label
_atom_site_fract_x
_atom_site_fract_y
_atom_site_fract_z
_atom_site_occupancy
Mn1 0.0000 0.0000 0.0000 1
Mn2 0.5000 0.5000 0.2371 1
P1 0.0000 0.0000 0.3475 1
Cl1 0.5000 0.5000 0.8279 1
```

=====

[3]
This record from Alexandria via LeMat-Bulk describes a relaxed Mn2PCl crystal. The functional is PBE.

Structure (CIF):
```
data_Mn2PCl
_chemical_formula_sum 'Mn6 P3 Cl3'
_cell_length_a 3.4245
_cell_length_b 3.4245
_cell_length_c 23.4649
_cell_angle_alpha 90.00
_cell_angle_beta 90.00
_cell_angle_gamma 120.00
_symmetry_space_group_name_H-M 'R 3 m'
_symmetry_Int_Tables_number 160
_symmetry_space_group_name_Hall 'R 3 -2"'
loop_
_atom_site_label
_atom_site_fract_x
_atom_site_fract_y
_atom_site_fract_z
_atom_site_occupancy
Mn1 0.0000 0.0000 0.0000 1
Mn2 0.0000 0.0000 0.2485 1
P1 0.0000 0.0000 0.7065 1
Cl1 0.0000 0.0000 0.5181 1
```

=====

[4]
This record from Alexandria via LeMat-Bulk describes a relaxed MnP2Cl crystal. The functional is PBE.

Structure (CIF):
```
data_MnP2Cl
_chemical_formula_sum 'Mn2 P4 Cl2'
_cell_length_a 3.2638
_cell_length_b 6.9795
_cell_length_c 8.7977
_cell_angle_alpha 90.00
_cell_angle_beta 90.00
_cell_angle_gamma 90.00
_symmetry_space_group_name_H-M 'C m m 2'
_symmetry_Int_Tables_number 35
loop_
_symmetry_equiv_pos_as_xyz
'x,y,z'
'-x,-y,z'
'-x,y,z'
'x,-y,z'
'x+1/2,y+1/2,z'
'-x+1/2,-y+1/2,z'
'-x+1/2,y+1/2,z'
'x+1/2,-y+1/2,z'
loop_
_atom_site_label
_atom_site_fract_x
_atom_site_fract_y
_atom_site_fract_z
_atom_site_occupancy
Mn1 0.0000 0.0000 0.0000 1
P1 0.0000 0.0000 0.3743 1
P2 0.0000 0.5000 0.2154 1
Cl1 0.0000 0.5000 0.8052 1
```

=====

[5]
This record from Alexandria via LeMat-Bulk describes a relaxed MnP4Cl crystal. The functional is PBE.

Structure (CIF):
```
data_MnP4Cl
_chemical_formula_sum 'Mn4 P16 Cl4'
_cell_length_a 8.1054
_cell_length_b 8.1054
_cell_length_c 8.1054
_cell_angle_alpha 90.00
_cell_angle_beta 90.00
_cell_angle_gamma 90.00
_symmetry_space_group_name_H-M 'F -4 3 m'
_symmetry_Int_Tables_number 216
_symmetry_space_group_name_Hall 'F -4 2 3'
loop_
_atom_site_label
_atom_site_fract_x
_atom_site_fract_y
_atom_site_fract_z
_atom_site_occupancy
Mn1 0.0000 0.0000 0.0000 1
P1 0.0965 0.0965 0.5965 1
Cl1 0.2500 0.2500 0.2500 1
```

=====

[6]
This record from Alexandria via LeMat-Bulk describes a relaxed MnPCl2 crystal. The functional is PBE.

Structure (CIF):
```
data_MnPCl2
_chemical_formula_sum 'Mn4 P4 Cl8'
_cell_length_a 8.5947
_cell_length_b 8.5947
_cell_length_c 4.2956
_cell_angle_alpha 90.00
_cell_angle_beta 90.00
_cell_angle_gamma 90.00
_symmetry_space_group_name_H-M 'I -4 2 d'
_symmetry_Int_Tables_number 122
_symmetry_space_group_name_Hall 'I -4 2bw'
loop_
_atom_site_label
_atom_site_fract_x
_atom_site_fract_y
_atom_site_fract_z
_atom_site_occupancy
Mn1 0.0000 0.0000 0.0000 1
P1 0.0000 0.0000 0.5000 1
Cl1 0.0984 0.2500 0.1250 1
```

=====

[7]
This record from Alexandria via LeMat-Bulk describes a relaxed Mn2PCl crystal. The functional is PBE.

Structure (CIF):
```
data_Mn2PCl
_chemical_formula_sum 'Mn2 P1 Cl1'
_cell_length_a 3.0424
_cell_length_b 3.1499
_cell_length_c 6.5262
_cell_angle_alpha 90.00
_cell_angle_beta 90.00
_cell_angle_gamma 90.00
_symmetry_space_group_name_H-M 'P m m m'
_symmetry_Int_Tables_number 47
loop_
_symmetry_equiv_pos_as_xyz
'x,y,z'
'-x,-y,-z'
'-x,-y,z'
'x,y,-z'
'x,-y,-z'
'-x,y,z'
'-x,y,-z'
'x,-y,z'
loop_
_atom_site_label
_atom_site_fract_x
_atom_site_fract_y
_atom_site_fract_z
_atom_site_occupancy
Mn1 0.0000 0.0000 0.1913 1
P1 0.5000 0.5000 0.0000 1
Cl1 0.5000 0.0000 0.5000 1
```

=====

[8]
This record from Alexandria via LeMat-Bulk describes a relaxed MnP2Cl crystal. The functional is PBE.

Structure (CIF):
```
data_MnP2Cl
_chemical_formula_sum 'Mn2 P4 Cl2'
_cell_length_a 3.4194
_cell_length_b 3.4194
_cell_length_c 12.3607
_cell_angle_alpha 90.00
_cell_angle_beta 90.00
_cell_angle_gamma 90.00
_symmetry_space_group_name_H-M 'I 4/m m m'
_symmetry_Int_Tables_number 139
_symmetry_space_group_name_Hall '-I 4 2'
loop_
_atom_site_label
_atom_site_fract_x
_atom_site_fract_y
_atom_site_fract_z
_atom_site_occupancy
Mn1 0.0000 0.0000 0.0000 1
P1 0.0000 0.5000 0.2500 1
Cl1 0.0000 0.0000 0.5000 1
```

=====

Looking at E_tot for the records above, in order, we have -17.55, -26.46, -77.98, -43.59, -121.54, -73.45, -26.35, -42.17 eV/cell.
Looking at formation energy without anion corrections for the records above, in order, we have 0.180, -0.217, -0.099, 0.010, 0.379, -0.022, -0.188, 0.187 eV per atom.
Looking at V for the records above, in order, we have 18.9, 18.4, 19.9, 25.1, 22.2, 19.8, 15.6, 18.1 Å³ per atom.